[1]
A geometry-optimized CaCuSn3 structure, computed with PBE-GGA.

```
5
Lattice="-3.604 3.705 -0.349 -2.883 -3.087 -3.000 -2.354 -1.893 4.209" Properties=species:S:1:pos:R:3 pbc="T T T"
Sn -1.177 -0.946 2.105
Sn -1.441 -1.544 -1.500
Sn -1.802 1.853 -0.175
Ca -4.420 -0.637 0.430
Cu 0.000 0.000 0.000
```

**E_form**: -0.029 eV/atom
**Space-group type**: Pm-3m, No. 221
**Total magnetization**: 0.00 μB/cell

---

[2]
A geometry-optimized Ca6Cu2Sn7 structure, computed with PBE-GGA.

```
15
Lattice="7.500 -0.026 0.003 6.101 4.361 0.003 0.814 0.260 12.414" Properties=species:S:1:pos:R:3 pbc="T T T"
Cu 11.777 3.754 7.596
Cu 2.639 0.841 4.823
Sn 0.876 0.279 10.942
Sn 0.407 0.130 6.207
Sn 9.383 2.991 6.439
Sn 2.635 0.840 2.176
Sn 13.539 4.316 1.477
Sn 5.032 1.604 5.980
Sn 11.781 3.755 10.243
Ca 3.239 1.032 8.759
Ca 11.177 3.563 3.660
Ca 7.573 2.414 3.711
Ca 9.469 3.018 12.400
Ca 4.947 1.577 0.019
Ca 6.842 2.181 8.708
```

**E_form**: -0.551 eV/atom
**Space-group type**: C2/m, No. 12
**Total magnetization**: 0.00 μB/cell

---

[3]
A geometry-optimized CaCuSn structure, computed with PBE-GGA.

```
18
Lattice="11.992 0.025 -0.003 8.444 8.515 0.003 -9.337 -6.378 3.994" Properties=species:S:1:pos:R:3 pbc="T T T"
Sn 4.655 2.263 2.500
Sn 7.111 -1.697 2.497
Sn 9.617 1.790 1.192
Sn 2.831 -1.055 1.197
Sn 12.405 2.955 1.192
Sn 7.206 5.760 1.199
Cu 8.649 3.918 2.508
Cu 5.511 0.087 1.185
Cu 2.002 1.130 2.513
Cu 4.509 4.655 1.188
Cu 3.127 -3.377 2.505
Cu -2.211 -0.631 2.513
Ca 6.766 2.808 0.011
Ca 0.676 -1.617 3.686
Ca -6.168 -4.485 3.690
Ca 0.013 -0.031 0.020
Ca 7.525 1.237 3.690
Ca 13.684 5.699 0.011
```

**E_form**: -0.460 eV/atom
**Space-group type**: Imm2, No. 44
**Total magnetization**: 0.00 μB/cell

---

[4]
A geometry-optimized CaCuSn structure, computed with PBE-GGA.

```
3
Lattice="-1.998 1.445 2.472 -1.528 -3.087 0.569 5.677 -0.402 2.357" Properties=species:S:1:pos:R:3 pbc="T T T"
Cu 1.621 -1.879 4.873
Sn 2.451 -0.766 2.428
Ca -0.945 -1.077 2.331
```

**E_form**: -0.207 eV/atom
**Space-group type**: I4mm, No. 107
**Total magnetization**: 0.00 μB/cell

---

| no. | theoretical density (g cm⁻³) |
| --- | --- |
| 1 | 5.5 |
| 2 | 4.9 |
| 3 | 5.4 |
| 4 | 5.4 |